First-principles (PBEsol) data for a geometry-optimized Li2MnRh structure, as listed in Alexandria via LeMat-Bulk.

ΔE_f (eV/atom): 0.101
DOS at the Fermi energy (states/eV/f.u.): 1.51
Calculated volume (Å³/atom): 13.45
Space group: P4/mmm, No. 123
Energy above the lowest structure with this stoichiometry (meV/atom): 50

Lattice parameters (Å, degrees): 3.576 3.576 4.206 90.00 90.00 90.00
Each line ends with the local moment (μB).
Fractional coordinates of all 4 atoms:
1 Mn 0.500 0.500 0.500  3.65
2 Rh 0.000 0.000 0.500  0.36
3 Li 0.500 0.000 0.000  -0.02
4 Li 0.000 0.500 0.000  -0.02

***

First-principles (PBEsol) data for a geometry-optimized CuAgAs2 structure, as listed in Alexandria via LeMat-Bulk.

ΔE_f (eV/atom): 0.274
DOS at the Fermi energy (states/eV/f.u.): 1.59
Calculated volume (Å³/atom): 16.45
Space group: I-4m2, No. 119
Energy above the lowest structure with this stoichiometry (meV/atom): 119

Lattice parameters (Å, degrees): 3.979 3.979 5.019 113.35 113.35 90.00
Fractional coordinates of all 4 atoms:
1 As 0.000 0.000 0.000
2 As 0.250 0.750 0.500
3 Ag 0.750 0.250 0.500
4 Cu 0.500 0.500 0.000

***

First-principles (PBEsol) data for a geometry-optimized MgScP structure, as listed in Alexandria via LeMat-Bulk.

ΔE_f (eV/atom): -0.637
Calculated volume (Å³/atom): 21.99
Space group: P3m1, No. 156

Lattice parameters (Å, degrees): 3.734 3.734 5.465 90.00 90.00 120.00
Fractional coordinates of all 3 atoms:
1 Sc 0.667 0.333 0.414
2 Mg 0.000 0.000 0.929
3 P 0.333 0.667 0.656

***

First-principles (PBEsol) data for a geometry-optimized LaZn2Co structure, as listed in Alexandria via LeMat-Bulk.

ΔE_f (eV/atom): -0.178
DOS at the Fermi energy (states/eV/f.u.): 2.43
Calculated volume (Å³/atom): 17.35
Space group: Cmcm, No. 63

Lattice parameters (Å, degrees): 4.380 5.072 6.741 112.10 90.00 90.00
Fractional coordinates of all 8 atoms:
1 La 0.250 0.201 0.402
2 La 0.750 0.799 0.598
3 Zn 0.250 0.687 0.888
4 Zn 0.750 0.799 0.112
5 Zn 0.250 0.201 0.888
6 Zn 0.750 0.313 0.112
7 Co 0.250 0.621 0.242
8 Co 0.750 0.379 0.758

***

First-principles (PBEsol) data for a geometry-optimized Ca2Mg structure, as listed in Alexandria via LeMat-Bulk.

ΔE_f (eV/atom): 0.039
DOS at the Fermi energy (states/eV/f.u.): 3.08
Calculated volume (Å³/atom): 34.81
Space group: I4_1/amd, No. 141

Lattice parameters (Å, degrees): 3.690 3.690 15.564 96.81 96.81 90.00
Fractional coordinates of all 6 atoms:
1 Ca 0.571 0.571 0.142
2 Ca 0.821 0.321 0.642
3 Ca 0.679 0.179 0.358
4 Ca 0.429 0.429 0.858
5 Mg 0.000 0.000 0.000
6 Mg 0.250 0.750 0.500

***

First-principles (PBEsol) data for a geometry-optimized LiCdPb2 structure, as listed in Alexandria via LeMat-Bulk.

ΔE_f (eV/atom): -0.095
DOS at the Fermi energy (states/eV/f.u.): 1.50
Calculated volume (Å³/atom): 24.53
Space group: P4/mmm, No. 123

Lattice parameters (Å, degrees): 3.835 3.835 6.671 90.00 90.00 90.00
Fractional coordinates of all 4 atoms:
1 Pb 0.000 0.000 0.252
2 Pb 0.000 0.000 0.748
3 Li 0.500 0.500 0.500
4 Cd 0.500 0.500 0.000

***

First-principles (PBEsol) data for a geometry-optimized PdW2IN structure, as listed in Alexandria via LeMat-Bulk.

DOS at the Fermi energy (states/eV/f.u.): 8.07
Calculated volume (Å³/atom): 18.85
Space group: P4/mmm, No. 123
Uncorrected formation energy (kJ/mol of formula units): 1356.2

Lattice parameters (Å, degrees): 3.865 4.938 4.938 90.00 90.00 90.00
Each line ends with the local moment (μB).
Fractional coordinates of all 5 atoms:
1 N 0.500 0.000 0.000  0.00
2 W 0.000 0.000 0.500  0.44
3 W 0.000 0.500 0.000  0.44
4 Pd 0.500 0.500 0.500  0.06
5 I 0.000 0.000 0.000  0.00

***

First-principles (PBEsol) data for a geometry-optimized KBeCl2 structure, as listed in Alexandria via LeMat-Bulk.

DOS at the Fermi energy (states/eV/f.u.): 1.47
Calculated volume (Å³/atom): 20.62
Space group: P4/mmm, No. 123
Uncorrected formation energy (kJ/mol of formula units): -194.0
Energy above the lowest structure with this stoichiometry (meV/atom): 287

Lattice parameters (Å, degrees): 3.455 4.884 4.889 90.00 90.00 90.00
Fractional coordinates of all 4 atoms:
1 Cl 0.000 0.500 0.500
2 Cl 0.000 0.000 0.000
3 Be 0.500 0.000 0.500
4 K 0.500 0.500 0.000